# GGA-PBE Ba2Hg8Au3, relaxed
data_Ba2Hg8Au3
_chemical_formula_sum 'Ba4 Hg16 Au6'
_symmetry_space_group_name_H-M 'C 1 2/m 1'
_symmetry_Int_Tables_number 12
_cell_length_a 17.245
_cell_length_b 7.560
_cell_length_c 5.564
_cell_angle_alpha 90.00
_cell_angle_beta 100.22
_cell_angle_gamma 90.00
loop_
_symmetry_equiv_pos_as_xyz
'x,y,z'
'-x,-y,-z'
'-x,y,-z'
'x,-y,z'
'x+1/2,y+1/2,z'
'-x+1/2,-y+1/2,-z'
'-x+1/2,y+1/2,-z'
'x+1/2,-y+1/2,z'
loop_
_atom_site_label
_atom_site_type_symbol
_atom_site_fract_x
_atom_site_fract_y
_atom_site_fract_z
_atom_site_occupancy
Ba1 Ba 0.177 0.000 0.245 1
Hg1 Hg 0.040 0.500 0.278 1
Hg2 Hg 0.128 0.272 0.716 1
Hg3 Hg 0.205 0.500 0.187 1
Au1 Au 0.000 0.000 0.500 1
Au2 Au 0.000 0.180 0.000 1
# E_form   -289.3 meV/atom
# Final energy   -0.1122 Ry/atom
# Volume   27.46 Å³ per atom
# Fermi-level density of states   8.11 states/eV per cell



# GGA-PBE Cd2As2P, relaxed
data_Cd2As2P
_chemical_formula_sum 'Cd4 As4 P2'
_symmetry_space_group_name_H-M 'P 4/m b m'
_symmetry_Int_Tables_number 127
_symmetry_space_group_name_Hall '-P 4 2ab'
_cell_length_a 7.293
_cell_length_b 7.293
_cell_length_c 4.084
_cell_angle_alpha 90.00
_cell_angle_beta 90.00
_cell_angle_gamma 90.00
loop_
_atom_site_label
_atom_site_type_symbol
_atom_site_fract_x
_atom_site_fract_y
_atom_site_fract_z
_atom_site_occupancy
Cd1 Cd 0.139 0.361 0.000 1
As1 As 0.185 0.685 0.500 1
P1 P 0.000 0.000 0.500 1
# E_form   321.3 meV/atom
# Final energy   -0.2195 Ry/atom
# Volume   21.72 Å³ per atom
# Fermi-level density of states   4.26 states/eV per cell



# GGA-PBE YTe2CN, relaxed
data_YTe2CN
_chemical_formula_sum 'Y1 Te2 C1 N1'
_symmetry_space_group_name_H-M 'P 4/m m m'
_symmetry_Int_Tables_number 123
_symmetry_space_group_name_Hall '-P 4 2'
_cell_length_a 6.031
_cell_length_b 6.031
_cell_length_c 2.799
_cell_angle_alpha 90.00
_cell_angle_beta 90.00
_cell_angle_gamma 90.00
loop_
_atom_site_label
_atom_site_type_symbol
_atom_site_fract_x
_atom_site_fract_y
_atom_site_fract_z
_atom_site_occupancy
Y1 Y 0.000 0.000 0.000 1
Te1 Te 0.000 0.500 0.500 1
C1 C 0.500 0.500 0.500 1
N1 N 0.500 0.500 0.000 1
# Raw formation energy   0.698 eV per atom
# Final energy   -0.3941 Ry/atom
# Volume   20.36 Å³ per atom
# Fermi-level density of states   1.96 states/eV per cell